The following is a DFT calculation (GGA-PBE) of Tl2GeOs after structural relaxation.

Properties
Final energy (eV per cell): -16.7
Formation energy (eV/atom): 0.98
Crystal system: cubic
V (Å³/atom): 20.95
Symmetry: Fm-3m (225)

Lattice parameters (Å, degrees): 4.912 4.912 4.912 60.00 60.00 60.00
Element x y z (fractional)
Tl1 0.750 0.750 0.750
Os1 0.500 0.500 0.500
Ge1 0.000 0.000 0.000
Tl2 0.250 0.250 0.250

The following is a DFT calculation (GGA-PBE) of Tl2GeOs2 after structural relaxation.

Properties
Final energy (eV per cell): -52.3
Formation energy (eV/atom): 1.14
Crystal system: tetragonal
V (Å³/atom): 20.96
Symmetry: P4/mbm (127)

Lattice parameters (Å, degrees): 8.497 8.497 2.904 90.00 90.00 90.00
Element x y z (fractional)
Os1 0.599 0.901 0.500
Tl1 0.191 0.309 0.000
Ge1 0.000 0.000 0.000
Os2 0.901 0.401 0.500
Os3 0.099 0.599 0.500
Os4 0.401 0.099 0.500
Tl2 0.809 0.691 0.000
Ge2 0.500 0.500 0.000
Tl3 0.691 0.191 0.000
Tl4 0.309 0.809 0.000

The following is a DFT calculation (GGA-PBE) of TlGe2Os after structural relaxation.

Properties
Final energy (eV per cell): -42.1
Formation energy (eV/atom): 0.44
Crystal system: tetragonal
V (Å³/atom): 32.03
Symmetry: I-42d (122)

Lattice parameters (Å, degrees): 6.044 6.044 8.214 68.41 68.41 90.00
Element x y z (fractional)
Tl1 0.000 0.000 0.000
Ge1 0.375 0.627 0.750
Ge2 0.377 0.625 0.250
Ge3 0.373 0.125 0.250
Tl2 0.750 0.250 0.500
Os1 0.250 0.750 0.500
Ge4 0.875 0.623 0.750
Os2 0.500 0.500 0.000

> The lowest V belongs to which entry?

Tl2GeOs

Repeat the third record exactly.
The following is a DFT calculation (GGA-PBE) of TlGe2Os after structural relaxation.

Properties
Final energy (eV per cell): -42.1
Formation energy (eV/atom): 0.44
Crystal system: tetragonal
V (Å³/atom): 32.03
Symmetry: I-42d (122)

Lattice parameters (Å, degrees): 6.044 6.044 8.214 68.41 68.41 90.00
Element x y z (fractional)
Tl1 0.000 0.000 0.000
Ge1 0.375 0.627 0.750
Ge2 0.377 0.625 0.250
Ge3 0.373 0.125 0.250
Tl2 0.750 0.250 0.500
Os1 0.250 0.750 0.500
Ge4 0.875 0.623 0.750
Os2 0.500 0.500 0.000